Record 1
PrU2NiN4 | PBE | relaxed

Lattice parameters (Å, degrees): 5.905 5.905 11.332 90.00 90.00 145.31
Atoms (fractional coordinates):
Pr 0.103 0.897 0.750
Pr 0.897 0.103 0.250
U 0.371 0.629 0.558
U 0.371 0.629 0.942
U 0.629 0.371 0.058
U 0.629 0.371 0.442
Ni 0.165 0.835 0.250
Ni 0.835 0.165 0.750
N 0.000 0.000 0.000
N 0.000 0.000 0.500
N 0.264 0.736 0.107
N 0.264 0.736 0.393
N 0.439 0.561 0.750
N 0.561 0.439 0.250
N 0.736 0.264 0.607
N 0.736 0.264 0.893

The uncorrected formation energy comes out at -1.166 eV per atom. The total magnetization is 2.89 μB/f.u. As for the space-group type: Cmcm.

***

Record 2
BeSbW | PBE | relaxed

Lattice parameters (Å, degrees): 7.196 7.196 7.196 156.08 156.08 34.08
Atoms (fractional coordinates):
Be 0.000 0.000 0.000
Sb 0.758 0.758 0.000
W 0.408 0.408 0.000

The uncorrected formation energy comes out at 0.730 eV per atom. The total magnetization is 0.00 μB/f.u. As for the space-group type: I4mm. For the energy above the lowest structure with this stoichiometry, the calculation gives 389.8 meV per atom.

***

Record 3
Li2HfTiS4 | PBE | relaxed

Lattice parameters (Å, degrees): 6.102 3.541 6.539 90.00 108.28 90.00
Atoms (fractional coordinates):
Li 0.000 0.000 0.000
Li 0.500 0.500 0.000
Hf 0.000 0.500 0.500
Ti 0.500 0.000 0.500
S 0.254 0.000 0.745
S 0.259 0.500 0.260
S 0.741 0.500 0.740
S 0.746 0.000 0.255

The uncorrected formation energy comes out at -1.464 eV per atom. The total magnetization is 0.32 μB/f.u. As for the space-group type: P2/m.

***

Record 4
CrFe5Pt6 | PBE | relaxed

Lattice parameters (Å, degrees): 6.108 6.108 7.549 90.00 90.00 143.15
Atoms (fractional coordinates):
Cr 0.000 0.000 0.000
Fe 0.000 0.000 0.500
Fe 0.332 0.668 0.500
Fe 0.333 0.667 0.000
Fe 0.667 0.333 0.000
Fe 0.668 0.332 0.500
Pt 0.167 0.833 0.249
Pt 0.167 0.833 0.751
Pt 0.500 0.500 0.250
Pt 0.500 0.500 0.750
Pt 0.833 0.167 0.249
Pt 0.833 0.167 0.751

For the total energy, the calculation gives -7.616 eV/atom. The total magnetization is 13.56 μB/f.u. As for the space-group type: Cmmm.

***

Record 5
V3SbMo | PBE | relaxed

Lattice parameters (Å, degrees): 4.587 4.587 4.587 90.00 90.00 90.00
Atoms (fractional coordinates):
V 0.000 0.000 0.500
V 0.000 0.500 0.000
V 0.500 0.000 0.000
Sb 0.500 0.500 0.500
Mo 0.000 0.000 0.000

The uncorrected formation energy comes out at 1.066 eV per atom. The total magnetization is 0.00 μB/f.u. As for the space-group type: Pm-3m. For the energy above the lowest structure with this stoichiometry, the calculation gives 0.0 meV per atom.

***

Record 6
Ce5Co12Ge3 | PBE | relaxed

Lattice parameters (Å, degrees): 12.025 12.025 12.025 109.47 109.47 109.47
Atoms (fractional coordinates):
Ce 0.000 0.000 0.000
Ce 0.000 0.000 0.500
Ce 0.000 0.500 0.000
Ce 0.000 0.500 0.500
Ce 0.125 0.750 0.875
Ce 0.125 0.875 0.250
Ce 0.250 0.125 0.875
Ce 0.250 0.625 0.375
Ce 0.375 0.250 0.625
Ce 0.375 0.625 0.750
Ce 0.500 0.000 0.000
Ce 0.500 0.000 0.500
Ce 0.500 0.500 0.000
Ce 0.500 0.500 0.500
Ce 0.625 0.375 0.250
Ce 0.625 0.750 0.375
Ce 0.750 0.375 0.625
Ce 0.750 0.875 0.125
Ce 0.875 0.125 0.750
Ce 0.875 0.250 0.125
Co 0.064 0.640 0.405
Co 0.064 0.924 0.658
Co 0.076 0.235 0.140
Co 0.076 0.342 0.936
Co 0.095 0.735 0.658
Co 0.095 0.860 0.436
Co 0.140 0.076 0.235
Co 0.140 0.564 0.905
Co 0.158 0.235 0.595
Co 0.158 0.424 0.564
Co 0.235 0.140 0.076
Co 0.235 0.595 0.158
Co 0.265 0.342 0.905
Co 0.265 0.424 0.360
Co 0.342 0.905 0.265
Co 0.342 0.936 0.076
Co 0.360 0.265 0.424
Co 0.360 0.595 0.936
Co 0.405 0.064 0.640
Co 0.405 0.842 0.765
Co 0.424 0.360 0.265
Co 0.424 0.564 0.158
Co 0.436 0.095 0.860
Co 0.436 0.842 0.576
Co 0.564 0.158 0.424
Co 0.564 0.905 0.140
Co 0.576 0.436 0.842
Co 0.576 0.640 0.735
Co 0.595 0.158 0.235
Co 0.595 0.936 0.360
Co 0.640 0.405 0.064
Co 0.640 0.735 0.576
Co 0.658 0.064 0.924
Co 0.658 0.095 0.735
Co 0.735 0.576 0.640
Co 0.735 0.658 0.095
Co 0.765 0.405 0.842
Co 0.765 0.860 0.924
Co 0.842 0.576 0.436
Co 0.842 0.765 0.405
Co 0.860 0.436 0.095
Co 0.860 0.924 0.765
Co 0.905 0.140 0.564
Co 0.905 0.265 0.342
Co 0.924 0.658 0.064
Co 0.924 0.765 0.860
Co 0.936 0.076 0.342
Co 0.936 0.360 0.595
Ge 0.125 0.250 0.375
Ge 0.125 0.375 0.750
Ge 0.250 0.375 0.125
Ge 0.250 0.875 0.625
Ge 0.375 0.125 0.250
Ge 0.375 0.750 0.125
Ge 0.625 0.250 0.875
Ge 0.625 0.875 0.750
Ge 0.750 0.125 0.375
Ge 0.750 0.625 0.875
Ge 0.875 0.625 0.250
Ge 0.875 0.750 0.625

For the total energy, the calculation gives -6.247 eV/atom. The total magnetization is 0.00 μB/f.u. As for the space-group type: Ia-3d.